DFT (PBE-GGA) results for a relaxed structure of LuPu2Np.

Lattice parameters (Å, degrees): 3.6694 3.6694 26.2051 90.00 90.00 120.00
Space group R-3m (No. 166, hexagonal axes)
Inequivalent atoms, fractional coordinates:
Lu: 0.0000 0.0000 0.0000 [3 per cell]
Pu: 0.0000 0.0000 0.1169 [6 per cell]
Np: 0.0000 0.0000 0.5000 [3 per cell]

Output
Crystal system: trigonal
ΔE_f in eV/atom: 0.5912